# 1
Crystalline Ti2HgSe at its relaxed geometry, computed with PBE.

Values from the calculation:
For the total energy, the calculation gives -5.2839 eV per atom. For the spin magnetization, the calculation gives 0.00 μB/f.u. The offset from the most stable computed form is 0.000 eV/atom. The volume is 77 Å³ per cell. The calculation puts the uncorrected formation energy at -150 kJ/mol of formula units.

Unit cell a=3.5371 b=3.5371 c=7.4285 alpha=76.23 beta=76.23 gamma=60.00
Element x y z (fractional)
Hg (0.4987, 0.4987, 0.5039)
Se (0.6673, 0.6673, 0.9982)
Ti (0.2671, 0.2671, 0.1986)
Ti (0.0669, 0.0669, 0.7992)

# 2
Crystalline Cr2CuAs at its relaxed geometry, computed with PBE.

Values from the calculation:
For the total energy, the calculation gives -6.5530 eV per atom. For the spin magnetization, the calculation gives 0.19 μB/f.u. The volume is 52 Å³ per cell. The formation enthalpy at 0 K is 0.445 eV per atom.

Unit cell a=8.2670 b=8.2670 c=8.2670 alpha=18.90 beta=18.90 gamma=18.90
Last column: magnetic moment on the atom in μB.
Element x y z (fractional)
Cr (0.0022, 0.0022, 0.0022)  0.09
Cu (0.2500, 0.2500, 0.2500)  0.01
As (0.7500, 0.7500, 0.7500)  0.00
Cr (0.4978, 0.4978, 0.4978)  0.09